No. 1
First-principles (PBE) data for a relaxed LaNdAs crystal, as listed in the Alexandria database.

## Properties
Energy of formation, eV per atom: -0.875

a b c (Å): 4.1546 4.1546 6.8620
angles (deg): 90.00 90.00 120.00
Space group P3m1 (No. 156)
Asymmetric unit:
La1 0.0000 0.0000 0.0000 [1 per cell]
Nd1 0.6667 0.3333 0.5094 [1 per cell]
As1 0.3333 0.6667 0.2597 [1 per cell]

No. 2
First-principles (PBE) data for a relaxed MgZn2Cd crystal, as listed in the Alexandria database.

## Properties
Energy of formation, eV per atom: 0.001
Energy above the most stable polymorph in this dataset, meV per atom: 35

a b c (Å): 2.980 4.018 6.172
angles (deg): 90.00 90.00 90.00
Space group Pmmm (No. 47)
Asymmetric unit:
Mg1 0.000 0.000 0.000 [1 per cell]
Zn1 0.500 0.500 0.237 [2 per cell]
Cd1 0.000 0.000 0.500 [1 per cell]

No. 3
First-principles (PBE) data for a relaxed Be2NiIr crystal, as listed in the Alexandria database.

## Properties
Energy of formation, eV per atom: -0.193
Energy above the most stable polymorph in this dataset, meV per atom: 384

a b c (Å): 2.6804 2.6804 21.0444
angles (deg): 90.00 90.00 120.00
Space group R-3m (No. 166, hexagonal axes)
Asymmetric unit:
Be1 0.0000 0.0000 0.2472 [6 per cell]
Ni1 0.0000 0.0000 0.5000 [3 per cell]
Ir1 0.0000 0.0000 0.0000 [3 per cell]

No. 4
First-principles (PBE) data for a relaxed CsBaAsCl6 crystal, as listed in the Alexandria database.

## Properties
ΔE_f (raw), eV/atom: -1.572

a b c (Å): 7.4750 7.4750 7.4349
angles (deg): 90.00 90.00 120.00
Space group P312 (No. 149)
Asymmetric unit:
Cs1 0.0000 0.0000 0.0000 [1 per cell]
Ba1 0.3333 0.6667 0.5000 [1 per cell]
As1 0.6667 0.3333 0.5000 [1 per cell]
Cl1 0.3962 0.0551 0.7003 [6 per cell]

no.,total energy (eV per atom),total magnetic moment (μB/f.u.)
1,-5.657,1.211
2,-1.264,0.000
3,-5.716,0.001
4,-3.628,0.000